# 1
! Ac2Mg4AlHg3 GGA-PBE relaxed; values from VASP
! ΔE_f in eV/f.u.: -3.0
! VASP energy in eV/atom: -2.23
&SYSTEM
  ibrav = 0, nat = 10, ntyp = 4
/
ATOMIC_SPECIES
Mg 24.30 Mg.upf
Hg 200.59 Hg.upf
Al 26.98 Al.upf
Ac 227.00 Ac.upf
CELL_PARAMETERS angstrom
-2.882 3.510 -1.209
-3.063 -3.113 -1.736
-5.354 -0.707 10.712
ATOMIC_POSITIONS crystal
Mg 0.500 0.000 0.626
Hg 0.500 0.000 0.857
Al 0.500 0.500 0.500
Mg 0.500 0.500 0.000
Hg 0.000 0.000 0.500
Hg 0.000 0.500 0.143
Ac 0.500 0.000 0.264
Ac 0.000 0.500 0.736
Mg 0.000 0.000 0.000
Mg 0.000 0.500 0.374


# 2
! AcMg2AlHg2 GGA-PBE relaxed; values from VASP
! ΔE_f in eV/f.u.: -0.2
! VASP energy in eV/atom: -1.98
&SYSTEM
  ibrav = 0, nat = 6, ntyp = 4
/
ATOMIC_SPECIES
Ac 227.00 Ac.upf
Hg 200.59 Hg.upf
Mg 24.30 Mg.upf
Al 26.98 Al.upf
CELL_PARAMETERS angstrom
5.341 0.000 0.000
0.000 5.341 0.000
-2.671 -2.671 6.026
ATOMIC_POSITIONS crystal
Ac 0.500 0.500 0.000
Hg 0.789 0.789 0.579
Mg 0.250 0.750 0.500
Hg 0.211 0.211 0.421
Mg 0.750 0.250 0.500
Al 0.000 0.000 0.000


Number 1: calculated density 7395 kg/m3. Number 2: calculated density 6798 kg/m3.